Entry 1:
Entry from Alexandria via LeMat-Bulk: a relaxed structure of TiBeHg2 (PBE-GGA).

The structure in POSCAR format:
```
TiBeHg2
1.0
-1.1778 3.7769 -1.3146
-3.3956 -0.2206 2.4087
2.3161 5.5936 7.3853
Hg Be Ti
4 2 2
Direct
0.6045 0.1250 0.2500 Hg
0.3750 0.3955 0.7500 Hg
0.1455 0.6250 0.2500 Hg
0.8750 0.8545 0.7500 Hg
0.2500 0.7500 0.5000 Be
0.5000 0.5000 0.0000 Be
0.0000 0.0000 0.0000 Ti
0.7500 0.2500 0.5000 Ti
```

Entry 2:
Entry from Alexandria via LeMat-Bulk: a relaxed structure of SrGa2Pt2 (PBE-GGA).

The structure in POSCAR format:
```
SrGa2Pt2
1.0
4.3235 0.0000 0.0000
0.0000 4.3235 0.0000
2.1617 2.1617 5.5239
Pt Ga Sr
2 2 1
Direct
0.3756 0.3756 0.2489 Pt
0.6244 0.6244 0.7511 Pt
0.7500 0.2500 0.5000 Ga
0.2500 0.7500 0.5000 Ga
0.0000 0.0000 0.0000 Sr
```

Entry 3:
Entry from Alexandria via LeMat-Bulk: a relaxed structure of LiSc2MoI (PBE-GGA).

The structure in POSCAR format:
```
LiSc2MoI
1.0
-1.9501 -3.7485 2.7844
-1.1622 -2.7916 -4.5722
4.5445 -2.2168 0.1984
Li Sc I Mo
1 2 1 1
Direct
0.5000 0.5000 0.5000 Li
0.5000 0.0000 0.0000 Sc
0.0000 0.0000 0.5000 Sc
0.0000 0.5000 0.0000 I
0.0000 0.0000 0.0000 Mo
```

The uncorrected formation energy is 2.57 eV/f.u.

Entry 4:
Entry from Alexandria via LeMat-Bulk: a relaxed structure of Li2Hg (PBE-GGA).

The structure in POSCAR format:
```
Li2Hg
1.0
-5.8291 4.2438 -10.9060
-3.0248 -0.5408 -12.7077
2.0798 -3.4633 12.4341
Hg Li
4 8
Direct
0.1722 0.6722 0.5000 Hg
0.0778 0.0778 0.0000 Hg
0.9222 0.9222 0.0000 Hg
0.3278 0.8278 0.5000 Hg
0.4130 0.4130 0.0000 Li
0.0001 0.5001 0.5000 Li
0.8370 0.3370 0.5000 Li
0.5870 0.5870 0.0000 Li
0.6630 0.1630 0.5000 Li
0.7501 0.7501 0.0000 Li
0.4999 0.9999 0.5000 Li
0.2499 0.2499 0.0000 Li
```

Entry 5:
Entry from Alexandria via LeMat-Bulk: a relaxed structure of KZn4Mo (PBE-GGA).

The structure in POSCAR format:
```
KZn4Mo
1.0
1.8448 -4.7160 -1.7518
-2.3775 -2.4372 -4.1376
2.5045 -0.3086 -4.7270
K Zn Mo
1 4 1
Direct
0.7500 0.7500 0.7500 K
0.3731 0.8808 0.3731 Zn
0.3731 0.3731 0.8808 Zn
0.3731 0.3731 0.3731 Zn
0.8808 0.3731 0.3731 Zn
0.0000 0.0000 0.0000 Mo
```

Entry 6:
Entry from Alexandria via LeMat-Bulk: a relaxed structure of CuAg4Au (PBE-GGA).

The structure in POSCAR format:
```
CuAg4Au
1.0
0.0000 3.8247 3.8247
3.8247 0.0000 3.8247
3.8247 3.8247 0.0000
Au Cu Ag
1 1 4
Direct
0.7500 0.7500 0.7500 Au
0.0000 0.0000 0.0000 Cu
0.3749 0.3749 0.3749 Ag
0.8754 0.3749 0.3749 Ag
0.3749 0.8754 0.3749 Ag
0.3749 0.3749 0.8754 Ag
```

Its energy above the lowest structure with this stoichiometry is 1.191 eV/f.u.

| no. | total energy (eV per atom) |
| --- | --- |
| 1 | -2.53 |
| 2 | -4.80 |
| 3 | -4.88 |
| 4 | -1.68 |
| 5 | -2.32 |
| 6 | -2.83 |